1.
{
  "formula": "SrTa2Ir",
  "functional": "GGA-PBE",
  "state": "optimized geometry",
  "space_group": "P4mm, No. 99",
  "formation_enthalpy_0k_kj_per_mol_atoms": 11.1,
  "n_ef_per_ev_cell": 4.02,
  "relative_energy_mev_per_atom": 0,
  "total_energy_ev_per_atom": -8.4473,
  "total_magnetization_mub_per_cell": 0.0,
  "lattice_angstrom": [[3.1602, 0.0000, 0.0000], [0.0000, 3.1602, 0.0000], [0.0000, 0.0000, 8.7094]],
  "species": ["Sr", "Ta", "Ta", "Ir"],
  "fractional_positions": [[0.0000, 0.0000, 0.0000], [0.0000, 0.0000, 0.5601], [0.5000, 0.5000, 0.3406], [0.5000, 0.5000, 0.7244]]
}

=====

2.
{
  "formula": "SrTa2Ir",
  "functional": "GGA-PBE",
  "state": "optimized geometry",
  "space_group": "P4/mmm, No. 123",
  "formation_enthalpy_0k_kj_per_mol_atoms": 70.1,
  "n_ef_per_ev_cell": 4.67,
  "relative_energy_mev_per_atom": 612,
  "total_energy_ev_per_atom": -7.8356,
  "total_magnetization_mub_per_cell": 0.0,
  "lattice_angstrom": [[4.0623, 0.0000, 0.0000], [0.0000, 4.0623, 0.0000], [0.0000, 0.0000, 4.9429]],
  "species": ["Sr", "Ta", "Ta", "Ir"],
  "fractional_positions": [[0.0000, 0.0000, 0.0000], [0.0000, 0.5000, 0.5000], [0.5000, 0.0000, 0.5000], [0.5000, 0.5000, 0.0000]]
}

=====

Short version: calculated volume = 21.74, 20.39 A^3/atom, in the order given.